Entry from the Alexandria database: crystalline DyCr5C4 at its relaxed geometry (PBE-GGA).

Its energy of formation from the pure elements is 139 meV per atom. As for the total magnetization: 0.084 μB/atom. Its density of states at the Fermi level is 7.7 states/eV per cell.

Geometry as CIF:
```
data_DyCr5C4
_space_group_name_H-M_alt 'P 1'
_space_group_IT_number 1
_cell_length_a 3.1079
_cell_length_b 5.8520
_cell_length_c 6.7937
_cell_angle_alpha 115.51
_cell_angle_beta 103.22
_cell_angle_gamma 90.00
loop_
_space_group_symop_operation_xyz
'x,y,z'
loop_
_atom_site_label
_atom_site_fract_x
_atom_site_fract_y
_atom_site_fract_z
_atom_site_occupancy
Dy1 0.5000 0.0000 0.0000 1
Cr1 0.8285 0.0669 0.6569 1
Cr2 0.8285 0.5900 0.6569 1
Cr3 0.1715 0.4100 0.3431 1
Cr4 0.1715 0.9331 0.3431 1
Cr5 0.5000 0.5000 0.0000 1
C1 0.0000 0.7086 0.0000 1
C2 0.2907 0.7907 0.5814 1
C3 0.7093 0.2093 0.4186 1
C4 0.0000 0.2914 0.0000 1
```

Entry from the Alexandria database: crystalline ZnGeP2O at its relaxed geometry (PBE-GGA).

Its energy above the lowest structure with this stoichiometry is 0 meV/atom. For the formation energy without anion corrections, the calculation gives 0.321 eV/atom. As for the total magnetization: 0.000 μB/atom. Its density of states at the Fermi level is 2.4 states/eV per cell.

Geometry as CIF:
```
data_ZnGeP2O
_space_group_name_H-M_alt 'P 1'
_space_group_IT_number 1
_cell_length_a 4.9033
_cell_length_b 4.9033
_cell_length_c 3.5348
_cell_angle_alpha 90.00
_cell_angle_beta 90.00
_cell_angle_gamma 90.00
loop_
_space_group_symop_operation_xyz
'x,y,z'
loop_
_atom_site_label
_atom_site_fract_x
_atom_site_fract_y
_atom_site_fract_z
_atom_site_occupancy
P1 0.0000 0.5000 0.0000 1
P2 0.5000 0.0000 0.0000 1
Ge1 0.0000 0.0000 0.0000 1
Zn1 0.5000 0.5000 0.5000 1
O1 0.0000 0.0000 0.5000 1
```

Which of these has the highest total magnetization? DyCr5C4

Which value of total magnetization does entry 1 give? 0.084 μB/atom